The following is a DFT calculation (PBE) of a relaxed structure of SbMoAs.

Calculated values
Uncorrected formation energy (eV/f.u.): 0.7
Energy relative to the lowest polymorph listed for this composition (meV per atom): 247
Space-group type: No. 42
Fermi-level density of states (states/eV/cell): 2.4
Total magnetization (μB per cell): 0.32

```
SbMoAs
1.0
7.7559 0.0292 -0.0222
6.9610 2.9614 -0.0196
0.7949 -0.7864 2.8247
Sb Mo As
1 1 1
Direct
0.6915 0.6915 0.3085
0.3428 0.3428 0.6572
0.9658 0.9658 0.0342
```


The following is a DFT calculation (PBE) of a relaxed structure of Ca2TlSiRh.

Calculated values
Uncorrected formation energy (eV/f.u.): -1.8
Space-group type: No. 123
Fermi-level density of states (states/eV/cell): 2.4
Total magnetization (μB per cell): 0.00

```
Ca2TlSiRh
1.0
5.4817 0.0000 0.0000
0.0000 5.4817 0.0000
0.0000 0.0000 4.5937
Si Tl Rh Ca
1 1 1 2
Direct
0.0000 0.0000 0.5000
0.5000 0.5000 0.5000
0.0000 0.0000 0.0000
0.0000 0.5000 0.0000
0.5000 0.0000 0.0000
```